Record 1
Density functional theory data (PBE-GGA) for a geometry-optimized Y2TmS2 structure.

Values from the calculation:
VASP energy, eV per atom: -6.710
Calculated volume, Å³ per cell: 356.6
Energy relative to the elements, uncorrected, eV/atom: -1.579

Cell lengths 3.8029, 3.8029, 28.4733 Å; angles 90.00, 90.00, 120.00 degrees
Space group R-3m (No. 166, hexagonal axes)
Symmetry-distinct sites (fractional):
Y 0.0000 0.0000 0.2167
Tm 0.0000 0.0000 0.0000
S 0.0000 0.0000 0.3889

---

Record 2
Density functional theory data (PBE-GGA) for a geometry-optimized LiMg3Sn2 structure.

Values from the calculation:
VASP energy, eV per atom: -2.629
Formation enthalpy at 0 K, eV/atom: -0.18
Calculated volume, Å³ per cell: 590.6

Cell lengths 4.737, 8.862, 14.068 Å; angles 90.00, 90.00, 90.00 degrees
Space group Immm (No. 71)
Symmetry-distinct sites (fractional):
Li 0.000 0.000 0.115
Mg 0.000 0.205 0.318
Mg 0.000 0.334 0.000
Sn 0.000 0.342 0.500
Sn 0.000 0.500 0.195

---

Record 3
Density functional theory data (PBE-GGA) for a geometry-optimized GdScCd2 structure.

Values from the calculation:
VASP energy, eV per atom: -5.875
Formation enthalpy at 0 K, eV/atom: -0.31
Calculated volume, Å³ per cell: 97.6

Cell lengths 3.602, 3.602, 7.523 Å; angles 90.00, 90.00, 90.00 degrees
Space group P4/mmm (No. 123)
Symmetry-distinct sites (fractional):
Gd 0.000 0.000 0.000
Sc 0.000 0.000 0.500
Cd 0.500 0.500 0.276

---

Record 4
Density functional theory data (PBE-GGA) for a geometry-optimized MgCo2Re2 structure.

Values from the calculation:
VASP energy, eV per atom: -7.933
Formation enthalpy at 0 K, eV/atom: 0.21
Calculated volume, Å³ per cell: 142.7

Cell lengths 7.396, 7.396, 2.609 Å; angles 90.00, 90.00, 90.00 degrees
Space group P4/mbm (No. 127)
Symmetry-distinct sites (fractional):
Mg 0.000 0.000 0.000
Co 0.167 0.333 0.500
Re 0.124 0.624 0.000

---

Record 5
Density functional theory data (PBE-GGA) for a geometry-optimized Tb6Cd2Os structure.

Values from the calculation:
VASP energy, eV per atom: -4.684
Formation enthalpy at 0 K, eV/atom: -0.15
Calculated volume, Å³ per cell: 982.8

Cell lengths 9.498, 9.991, 10.356 Å; angles 90.00, 90.00, 90.00 degrees
Space group Immm (No. 71)
Symmetry-distinct sites (fractional):
Tb 0.000 0.169 0.244
Tb 0.169 0.500 0.240
Tb 0.232 0.317 0.500
Cd 0.000 0.360 0.000
Cd 0.145 0.000 0.500
Os 0.000 0.000 0.000
Os 0.000 0.500 0.500

---

Record 6
Density functional theory data (PBE-GGA) for a geometry-optimized Pr3NdTm2Te6 structure.

Values from the calculation:
VASP energy, eV per atom: -5.262
Calculated volume, Å³ per cell: 748.8
Energy relative to the elements, uncorrected, eV/atom: -1.354

Cell lengths 19.538, 4.386, 9.033 Å; angles 90.00, 104.67, 90.00 degrees
Space group C2/m (No. 12)
Symmetry-distinct sites (fractional):
Pr 0.000 0.000 0.000
Pr 0.160 0.500 0.330
Nd 0.000 0.000 0.500
Tm 0.165 0.500 0.829
Te 0.007 0.500 0.752
Te 0.170 0.000 0.596
Te 0.172 0.000 0.072

---

Record 7
Density functional theory data (PBE-GGA) for a geometry-optimized AlV3Si structure.

Values from the calculation:
VASP energy, eV per atom: -6.732
Calculated volume, Å³ per cell: 86.0
Energy relative to the elements, uncorrected, eV/atom: 0.573

Cell lengths 4.414, 4.414, 4.414 Å; angles 90.00, 90.00, 90.00 degrees
Space group Pm-3m (No. 221)
Symmetry-distinct sites (fractional):
Al 0.000 0.000 0.000
V 0.000 0.500 0.500
Si 0.500 0.500 0.500

---

Record 8
Density functional theory data (PBE-GGA) for a geometry-optimized LiZr2Pd4 structure.

Values from the calculation:
VASP energy, eV per atom: -6.111
Formation enthalpy at 0 K, eV/atom: -0.43
Calculated volume, Å³ per cell: 508.8

Cell lengths 5.664, 8.105, 11.084 Å; angles 90.00, 90.00, 90.00 degrees
Space group Fmmm (No. 69)
Symmetry-distinct sites (fractional):
Li 0.000 0.000 0.000
Zr 0.000 0.000 0.358
Pd 0.250 0.250 0.000
Pd 0.250 0.250 0.250

---

Record 9
Density functional theory data (PBE-GGA) for a geometry-optimized K2BeAg structure.

Values from the calculation:
VASP energy, eV per atom: -1.833
Formation enthalpy at 0 K, eV/atom: 0.36
Calculated volume, Å³ per cell: 138.5

Cell lengths 5.384, 4.418, 6.406 Å; angles 90.00, 114.70, 90.00 degrees
Space group Pm (No. 6)
Symmetry-distinct sites (fractional):
K 0.000 0.000 0.000
K 0.304 0.500 0.611
Be 0.623 0.500 0.249
Ag 0.682 0.000 0.363

---

Record 10
Density functional theory data (PBE-GGA) for a geometry-optimized Pm4MnGe5 structure.

Values from the calculation:
VASP energy, eV per atom: -5.558
Formation enthalpy at 0 K, eV/atom: -0.43
Calculated volume, Å³ per cell: 499.5

Cell lengths 9.105, 9.105, 6.025 Å; angles 90.00, 90.00, 90.00 degrees
Space group I4 (No. 79)
Symmetry-distinct sites (fractional):
Pm 0.083 0.304 0.000
Mn 0.000 0.000 0.491
Ge 0.000 0.000 0.076
Ge 0.095 0.265 0.502

---

Record 11
Density functional theory data (PBE-GGA) for a geometry-optimized PuMgTlSb structure.

Values from the calculation:
VASP energy, eV per atom: -5.790
Calculated volume, Å³ per cell: 416.2
Energy relative to the elements, uncorrected, eV/atom: -0.186

Cell lengths 7.466, 7.466, 7.466 Å; angles 90.00, 90.00, 90.00 degrees
Space group F-43m (No. 216)
Symmetry-distinct sites (fractional):
Pu 0.000 0.000 0.000
Mg 0.000 0.000 0.500
Tl 0.250 0.250 0.250
Sb 0.250 0.250 0.750

---

Record 12
Density functional theory data (PBE-GGA) for a geometry-optimized SnPb2SBr structure.

Values from the calculation:
VASP energy, eV per atom: -3.062
Calculated volume, Å³ per cell: 187.7
Energy relative to the elements, uncorrected, eV/atom: 0.382

Cell lengths 5.929, 5.929, 5.339 Å; angles 90.00, 90.00, 90.00 degrees
Space group P4/mmm (No. 123)
Symmetry-distinct sites (fractional):
Sn 0.000 0.000 0.000
Pb 0.000 0.500 0.000
S 0.500 0.500 0.500
Br 0.000 0.000 0.500